Material: Be2Hg
Method: DFT, meta-GGA SCAN
State: PBEsol geometry

Unit cell a=5.3978 b=5.3978 c=5.3978 alpha=149.93 beta=149.93 gamma=43.04
With the nearest neighbours (Å) after each atom.
Sites, in units of the cell vectors:
1 Be 0.1958 0.1958 0.0000  4 Be 2.26
2 Be 0.8042 0.8042 0.0000  4 Be 2.26
3 Hg 0.5000 0.5000 0.0000  10 Be 2.79-3.06, 4 Hg 2.80

Computed properties:
Uncorrected energy: -25.132 eV/atom
Polymorph energy (0 for the lowest one): 0.158 eV/atom
Space group: I4/mmm, No. 139
Formation enthalpy at 0 K: 0.49 eV/atom
Crystal system: tetragonal

Material: MnCuMo3
Method: DFT, meta-GGA SCAN
State: PBEsol geometry

Unit cell a=4.4420 b=4.4420 c=4.4420 alpha=90.00 beta=90.00 gamma=90.00
With the nearest neighbours (Å) after each atom.
Sites, in units of the cell vectors:
1 Mn 0.0000 0.0000 0.0000  12 Mo 3.14
2 Cu 0.5000 0.5000 0.5000  6 Mo 2.22
3 Mo 0.0000 0.5000 0.5000  2 Cu 2.22
4 Mo 0.5000 0.0000 0.5000  2 Cu 2.22
5 Mo 0.5000 0.5000 0.0000  2 Cu 2.22

Computed properties:
Uncorrected energy: -26.028 eV/atom
Space group: Pm-3m, No. 221
Formation enthalpy at 0 K: 1.59 eV/atom
Crystal system: cubic

Material: Mn3SiGe
Method: DFT, meta-GGA SCAN
State: PBEsol geometry

Unit cell a=4.3744 b=4.3744 c=4.3744 alpha=90.00 beta=90.00 gamma=90.00
With the nearest neighbours (Å) after each atom.
Sites, in units of the cell vectors:
1 Mn 0.0000 0.0000 0.5000  2 Si 2.19
2 Mn 0.0000 0.5000 0.0000  2 Si 2.19
3 Mn 0.5000 0.0000 0.0000  2 Si 2.19
4 Si 0.0000 0.0000 0.0000  6 Mn 2.19
5 Ge 0.5000 0.5000 0.5000  12 Mn 3.09

Computed properties:
Formation energy (no corrections): 1.5 eV/f.u.
Uncorrected energy: -16.477 eV/atom
Space group: Pm-3m, No. 221
Crystal system: cubic

Material: TbSi4B18C
Method: DFT, meta-GGA SCAN
State: PBEsol geometry

Unit cell a=7.8974 b=7.8974 c=7.8674 alpha=101.54 beta=101.54 gamma=78.35
With the nearest neighbours (Å) after each atom.
Sites, in units of the cell vectors:
1 Tb 0.0000 0.5000 0.0000  12 B 2.73-2.91, 4 Si 2.83-2.86
2 Tb 0.5000 0.0000 0.0000  12 B 2.73-2.91, 4 Si 2.83-2.86
3 Si 0.0715 0.0715 0.9277  4 Si 2.32-2.35
4 Si 0.1548 0.7681 0.2447  3 B 1.98-2.05
5 Si 0.2319 0.8452 0.7553  3 B 1.98-2.05
6 Si 0.2357 0.2357 0.1618  3 B 2.01-2.06
7 Si 0.7643 0.7643 0.8382  3 B 2.01-2.06
8 Si 0.7681 0.1548 0.2447  3 B 1.98-2.05
9 Si 0.8452 0.2319 0.7553  3 B 1.98-2.05
10 Si 0.9285 0.9285 0.0723  4 Si 2.32-2.35
11 B 0.0610 0.6228 0.3748  5 B 1.76-1.84
12 B 0.0847 0.3923 0.3269  5 B 1.76-1.80
13 B 0.0858 0.6772 0.6049  5 B 1.76-1.81
14 B 0.1275 0.2979 0.5223  6 B 1.70-1.85
15 B 0.1277 0.4799 0.6978  6 B 1.74-1.82
16 B 0.2287 0.4873 0.5121  1 C 1.68, 5 B 1.80-1.85
17 B 0.2979 0.1275 0.5223  6 B 1.70-1.85
18 B 0.3014 0.4805 0.8724  6 B 1.74-1.83
19 B 0.3220 0.6092 0.0871  5 B 1.78-1.82
20 B 0.3228 0.9142 0.3951  5 B 1.76-1.81
21 B 0.3761 0.3761 0.0627  5 B 1.78-1.84
22 B 0.3772 0.9390 0.6252  5 B 1.76-1.84
23 B 0.3908 0.6780 0.9129  5 B 1.78-1.82
24 B 0.3923 0.0847 0.3269  5 B 1.76-1.80
25 B 0.4799 0.1277 0.6978  6 B 1.74-1.82
26 B 0.4805 0.3014 0.8724  6 B 1.74-1.83
27 B 0.4873 0.2287 0.5121  1 C 1.68, 5 B 1.80-1.85
28 B 0.4877 0.4877 0.7694  1 C 1.66, 5 B 1.82-1.84
29 B 0.5123 0.5123 0.2306  1 C 1.66, 5 B 1.82-1.84
30 B 0.5127 0.7713 0.4879  1 C 1.68, 5 B 1.80-1.85
31 B 0.5195 0.6986 0.1276  6 B 1.74-1.83
32 B 0.5201 0.8723 0.3022  6 B 1.74-1.82
33 B 0.6077 0.9153 0.6731  5 B 1.76-1.80
34 B 0.6092 0.3220 0.0871  5 B 1.78-1.82
35 B 0.6228 0.0610 0.3748  5 B 1.76-1.84
36 B 0.6239 0.6239 0.9373  5 B 1.78-1.84
37 B 0.6772 0.0858 0.6049  5 B 1.76-1.81
38 B 0.6780 0.3908 0.9129  5 B 1.78-1.82
39 B 0.6986 0.5195 0.1276  6 B 1.74-1.83
40 B 0.7021 0.8725 0.4777  6 B 1.70-1.85
41 B 0.7713 0.5127 0.4879  1 C 1.68, 5 B 1.80-1.85
42 B 0.8723 0.5201 0.3022  6 B 1.74-1.82
43 B 0.8725 0.7021 0.4777  6 B 1.70-1.85
44 B 0.9142 0.3228 0.3951  5 B 1.76-1.81
45 B 0.9153 0.6077 0.6731  5 B 1.76-1.80
46 B 0.9390 0.3772 0.6252  5 B 1.76-1.84
47 C 0.4487 0.4487 0.5504  1 C 1.65, 3 B 1.66-1.68
48 C 0.5513 0.5513 0.4496  1 C 1.65, 3 B 1.66-1.68

Computed properties:
Formation energy (no corrections): -5.9 eV/f.u.
Uncorrected energy: -9.858 eV/atom
Space group: C2/m, No. 12
Crystal system: monoclinic

Material: Sr3CrIn
Method: DFT, meta-GGA SCAN
State: PBEsol geometry

Unit cell a=5.8553 b=5.8553 c=5.8553 alpha=90.00 beta=90.00 gamma=90.00
With the nearest neighbours (Å) after each atom.
Sites, in units of the cell vectors:
1 Sr 0.0000 0.0000 0.5000  2 Cr 2.93
2 Sr 0.0000 0.5000 0.0000  2 Cr 2.93
3 Sr 0.5000 0.0000 0.0000  2 Cr 2.93
4 Cr 0.0000 0.0000 0.0000  6 Sr 2.93
5 In 0.5000 0.5000 0.5000  12 Sr 4.14

Computed properties:
Uncorrected energy: -23.313 eV/atom
Space group: Pm-3m, No. 221
Formation enthalpy at 0 K: 0.41 eV/atom
Crystal system: cubic

Material: TiFe2
Method: DFT, meta-GGA SCAN
State: PBEsol geometry

Unit cell a=4.6326 b=4.6326 c=7.6215 alpha=90.00 beta=90.00 gamma=120.00
With the nearest neighbours (Å) after each atom.
Sites, in units of the cell vectors:
1 Ti 0.3333 0.6667 0.0651  12 Fe 2.71-2.73, 4 Ti 2.82-2.85
2 Ti 0.3333 0.6667 0.4349  12 Fe 2.71-2.73, 4 Ti 2.82-2.85
3 Ti 0.6667 0.3333 0.5651  12 Fe 2.71-2.73, 4 Ti 2.82-2.85
4 Ti 0.6667 0.3333 0.9349  12 Fe 2.71-2.73, 4 Ti 2.82-2.85
5 Fe 0.0000 0.0000 0.0000  6 Fe 2.35
6 Fe 0.0000 0.0000 0.5000  6 Fe 2.35
7 Fe 0.1708 0.3416 0.7500  6 Fe 2.26-2.37
8 Fe 0.1708 0.8292 0.7500  6 Fe 2.26-2.37
9 Fe 0.3416 0.1708 0.2500  6 Fe 2.26-2.37
10 Fe 0.6584 0.8292 0.7500  6 Fe 2.26-2.37
11 Fe 0.8292 0.1708 0.2500  6 Fe 2.26-2.37
12 Fe 0.8292 0.6584 0.2500  6 Fe 2.26-2.37

Computed properties:
Uncorrected energy: -17.650 eV/atom
Space group: P6_3/mmc, No. 194
Formation enthalpy at 0 K: -0.22 eV/atom
Crystal system: hexagonal

Material: HfCrAgS4
Method: DFT, meta-GGA SCAN
State: PBEsol geometry

Unit cell a=7.1162 b=7.1162 c=5.9834 alpha=114.43 beta=114.43 gamma=28.80
With the nearest neighbours (Å) after each atom.
Sites, in units of the cell vectors:
1 Hf 0.0000 0.0000 0.0000  6 S 2.49-2.55
2 Cr 0.4950 0.4950 0.5250  6 S 2.40-2.43
3 Ag 0.7497 0.7497 0.7431  6 S 2.55-2.76
4 S 0.1022 0.1022 0.4699  2 Cr 2.42, 1 Hf 2.55, 2 Ag 2.66
5 S 0.3874 0.3874 0.0874  1 Cr 2.40, 2 Hf 2.55
6 S 0.6186 0.6186 0.9612  1 Cr 2.43, 2 Hf 2.49, 1 Ag 2.64
7 S 0.8821 0.8821 0.5490  2 Cr 2.40, 1 Hf 2.49, 1 Ag 2.55

Computed properties:
Formation energy (no corrections): -8.2 eV/f.u.
Uncorrected energy: -22.728 eV/atom
Polymorph energy (0 for the lowest one): 0.033 eV/atom
Space group: Cm, No. 8
Crystal system: monoclinic

Material: AsOsRuBr2
Method: DFT, meta-GGA SCAN
State: PBEsol geometry

Unit cell a=4.9294 b=4.9294 c=4.6558 alpha=90.00 beta=90.00 gamma=90.00
With the nearest neighbours (Å) after each atom.
Sites, in units of the cell vectors:
1 As 0.0000 0.0000 0.0000  2 Ru 2.33
2 Os 0.5000 0.5000 0.0000  8 Br 3.39, 4 As 3.49
3 Ru 0.0000 0.0000 0.5000  2 As 2.33, 4 Br 2.46
4 Br 0.0000 0.5000 0.5000  2 Ru 2.46
5 Br 0.5000 0.0000 0.5000  2 Ru 2.46

Computed properties:
Formation energy (no corrections): 7.3 eV/f.u.
Uncorrected energy: -31.711 eV/atom
Space group: P4/mmm, No. 123
Crystal system: tetragonal

> What is the uncorrected energy in the sixth record?

-17.650 eV/atom